1.
# PBE BaTcIr2, relaxed
data_BaTcIr2
_chemical_formula_sum 'Ba2 Tc2 Ir4'
_symmetry_space_group_name_H-M 'I m m m'
_symmetry_Int_Tables_number 71
_symmetry_space_group_name_Hall '-I 2 2'
_cell_length_a 3.541
_cell_length_b 5.699
_cell_length_c 9.164
_cell_angle_alpha 90.00
_cell_angle_beta 90.00
_cell_angle_gamma 90.00
loop_
_atom_site_label
_atom_site_type_symbol
_atom_site_fract_x
_atom_site_fract_y
_atom_site_fract_z
Ba1 Ba 0.000 0.000 0.000
Tc1 Tc 0.000 0.000 0.500
Ir1 Ir 0.000 0.500 0.184
# Calculated total energy in eV per atom: -6.71
# Total magnetic moment in μB per atom: 0.000

***

2.
# PBE CaRe2As2, relaxed
data_CaRe2As2
_chemical_formula_sum 'Ca2 Re4 As4'
_symmetry_space_group_name_H-M 'P 4/m b m'
_symmetry_Int_Tables_number 127
_symmetry_space_group_name_Hall '-P 4 2ab'
_cell_length_a 7.554
_cell_length_b 7.554
_cell_length_c 3.008
_cell_angle_alpha 90.00
_cell_angle_beta 90.00
_cell_angle_gamma 90.00
loop_
_atom_site_label
_atom_site_type_symbol
_atom_site_fract_x
_atom_site_fract_y
_atom_site_fract_z
Ca1 Ca 0.000 0.000 0.000
Re1 Re 0.137 0.363 0.500
As1 As 0.148 0.648 0.000
# Calculated total energy in eV per atom: -7.02
# Total magnetic moment in μB per atom: 0.000

***

3.
# PBE CuAg2Br, relaxed
data_CuAg2Br
_chemical_formula_sum 'Cu2 Ag4 Br2'
_symmetry_space_group_name_H-M 'C 1 m 1'
_symmetry_Int_Tables_number 8
_cell_length_a 8.778
_cell_length_b 3.462
_cell_length_c 6.158
_cell_angle_alpha 90.00
_cell_angle_beta 95.55
_cell_angle_gamma 90.00
loop_
_symmetry_equiv_pos_as_xyz
'x,y,z'
'x,-y,z'
'x+1/2,y+1/2,z'
'x+1/2,-y+1/2,z'
loop_
_atom_site_label
_atom_site_type_symbol
_atom_site_fract_x
_atom_site_fract_y
_atom_site_fract_z
Cu1 Cu 0.000 0.000 0.000
Ag1 Ag 0.052 0.500 0.675
Ag2 Ag 0.275 0.000 0.884
Br1 Br 0.410 0.500 0.349
# Total magnetic moment in μB per atom: 0.000
# Formation energy from raw total energies in eV per atom: 0.128